# 1
GaPbBrCl4, relaxed, DFT PBE; formation energy from raw total energies = -105 kJ per mole of atoms; D(E_F) = 0.00 states/eV per cell
1.0
6.177 -4.679 0.000
6.177 4.679 0.000
-4.339 0.000 9.037
Ga Pb Br Cl
2 2 2 8
direct
0.150 0.150 0.348
0.850 0.850 0.652
0.430 0.430 0.767
0.570 0.570 0.233
0.336 0.336 0.977
0.664 0.664 0.023
0.141 0.774 0.783
0.160 0.160 0.573
0.226 0.859 0.217
0.337 0.337 0.378
0.663 0.663 0.622
0.774 0.141 0.783
0.840 0.840 0.427
0.859 0.226 0.217

# 2
LiPrDyIn, relaxed, DFT PBE; ΔE_f = -0.260 eV/atom; D(E_F) = 17.52 states/eV per cell
1.0
7.607 0.000 0.000
0.000 7.607 0.000
0.000 0.000 7.607
Li Pr Dy In
4 4 4 4
direct
0.000 0.000 0.000
0.000 0.500 0.500
0.500 0.000 0.500
0.500 0.500 0.000
0.250 0.250 0.250
0.250 0.750 0.750
0.750 0.250 0.750
0.750 0.750 0.250
0.250 0.250 0.750
0.250 0.750 0.250
0.750 0.250 0.250
0.750 0.750 0.750
0.000 0.000 0.500
0.000 0.500 0.000
0.500 0.000 0.000
0.500 0.500 0.500

# 3
PaSb2Ru, relaxed, DFT PBE; formation energy from raw total energies = -23 kJ per mole of atoms; D(E_F) = 3.54 states/eV per cell
1.0
3.849 0.000 0.000
-0.001 5.271 0.000
-0.005 -1.628 5.017
Pa Sb Ru
1 2 1
direct
0.000 0.000 0.000
0.500 0.536 0.150
0.502 0.152 0.537
0.499 0.715 0.714

# 4
HfScSb2N, relaxed, DFT PBE; formation energy from raw total energies = -27 kJ per mole of atoms; D(E_F) = 1.72 states/eV per cell
1.0
4.988 0.000 0.000
0.000 4.988 0.000
0.000 0.000 4.149
Hf Sc Sb N
1 1 2 1
direct
0.000 0.000 0.000
0.500 0.500 0.000
0.000 0.500 0.500
0.500 0.000 0.500
0.000 0.000 0.500

# 5
LiSiRu2, relaxed, DFT PBE; formation energy from raw total energies = -13 kJ per mole of atoms; D(E_F) = 2.04 states/eV per cell
1.0
2.751 0.000 0.000
0.000 3.831 0.000
-0.663 0.000 4.976
Li Si Ru
1 1 2
direct
0.000 0.000 0.000
0.500 0.000 0.500
0.297 0.500 0.745
0.703 0.500 0.255

# 6
CdSb2TeF, relaxed, DFT PBE; formation energy from raw total energies = -7 kJ per mole of atoms; D(E_F) = 3.29 states/eV per cell; offset from the most stable computed form = 0 meV/atom
1.0
4.704 0.000 0.000
0.000 4.704 0.000
0.000 0.000 5.877
Cd Sb Te F
1 2 1 1
direct
0.000 0.000 0.000
0.000 0.500 0.500
0.500 0.000 0.500
0.500 0.500 0.000
0.500 0.500 0.500

# 7
ThMg5Zn2, relaxed, DFT PBE; ΔE_f = -0.086 eV/atom; D(E_F) = 7.27 states/eV per cell
1.0
3.812 0.000 0.000
0.000 8.453 0.000
0.000 0.000 10.971
Th Mg Zn
2 10 4
direct
0.000 0.000 0.000
0.500 0.500 0.500
0.000 0.196 0.353
0.000 0.196 0.647
0.000 0.500 0.000
0.000 0.804 0.353
0.000 0.804 0.647
0.500 0.000 0.500
0.500 0.304 0.147
0.500 0.304 0.853
0.500 0.696 0.147
0.500 0.696 0.853
0.000 0.500 0.267
0.000 0.500 0.733
0.500 0.000 0.233
0.500 0.000 0.767

# 8
Li3Ac2GaSn4, relaxed, DFT PBE; ΔE_f = -0.569 eV/atom; D(E_F) = 1.90 states/eV per cell
1.0
4.641 0.000 0.000
0.000 4.641 0.000
0.000 0.000 11.495
Li Ac Ga Sn
3 2 1 4
direct
0.000 0.000 0.000
0.000 0.500 0.628
0.500 0.000 0.372
0.000 0.500 0.254
0.500 0.000 0.746
0.500 0.500 0.000
0.000 0.000 0.500
0.000 0.500 0.859
0.500 0.000 0.141
0.500 0.500 0.500

# 9
Pm2ScTl, relaxed, DFT PBE; ΔE_f = -0.067 eV/atom; D(E_F) = 17.69 states/eV per cell; offset from the most stable computed form = 119 meV/atom
1.0
3.561 0.000 0.000
-1.780 3.084 0.000
0.000 0.000 32.938
Pm Sc Tl
6 3 3
direct
0.000 0.000 0.000
0.000 0.000 0.165
0.333 0.667 0.667
0.333 0.667 0.832
0.667 0.333 0.333
0.667 0.333 0.498
0.000 0.000 0.416
0.333 0.667 0.082
0.667 0.333 0.749
0.000 0.000 0.582
0.333 0.667 0.249
0.667 0.333 0.916

# 10
ZrUFe2, relaxed, DFT PBE; ΔE_f = -0.014 eV/atom; D(E_F) = 5.34 states/eV per cell
1.0
3.212 0.000 0.000
0.000 3.212 0.000
0.000 0.000 6.425
Zr U Fe
1 1 2
direct
0.000 0.000 0.000
0.000 0.000 0.500
0.500 0.500 0.287
0.500 0.500 0.713

# 11
Sr4Hg2H, relaxed, DFT PBE; D(E_F) = 10.21 states/eV per cell; offset from the most stable computed form = 0 meV/atom
1.0
7.273 0.000 0.000
0.000 7.575 0.000
-2.874 0.000 8.768
Sr Hg H
8 4 2
direct
0.001 0.007 0.266
0.001 0.493 0.266
0.395 0.750 0.077
0.438 0.750 0.632
0.562 0.250 0.368
0.605 0.250 0.923
0.999 0.507 0.734
0.999 0.993 0.734
0.191 0.250 0.037
0.261 0.250 0.576
0.739 0.750 0.424
0.809 0.750 0.963
0.231 0.750 0.800
0.769 0.250 0.200

# 12
BaAl2Si2, relaxed, DFT PBE; formation energy from raw total energies = -29 kJ per mole of atoms; D(E_F) = 2.18 states/eV per cell
1.0
10.120 0.000 0.000
0.000 4.268 0.000
0.000 0.000 10.936
Ba Al Si
4 8 8
direct
0.247 0.250 0.175
0.253 0.750 0.675
0.747 0.250 0.325
0.753 0.750 0.825
0.042 0.250 0.881
0.100 0.250 0.453
0.400 0.750 0.953
0.458 0.750 0.381
0.542 0.250 0.619
0.600 0.250 0.047
0.900 0.750 0.547
0.958 0.750 0.119
0.025 0.750 0.344
0.145 0.750 0.959
0.355 0.250 0.459
0.475 0.250 0.844
0.525 0.750 0.156
0.645 0.750 0.541
0.855 0.250 0.041
0.975 0.250 0.656